[1]
A geometry-optimized MgBPtCl2 structure, computed with GGA-PBE.

Lattice parameters (Å, degrees): 3.9836 8.7952 3.9836 90.00 90.00 90.00
Sites, in units of the cell vectors:
Pt (0.5000, 0.5000, 0.5000)
Cl (0.5000, 0.0000, 0.0000)
Cl (0.0000, 0.0000, 0.5000)
B (0.0000, 0.0000, 0.0000)
Mg (0.0000, 0.5000, 0.0000)

Summary:
Formation energy from raw total energies (eV per formula unit): 3.02
Volume (Å³/atom): 27.91



[2]
A geometry-optimized PaSbPd2 structure, computed with GGA-PBE.

Lattice parameters (Å, degrees): 4.2113 4.4413 4.4413 90.00 90.00 90.00
Site moments in Bohr magnetons follow the coordinates.
Sites, in units of the cell vectors:
Sb (0.5000, 0.0000, 0.0000)  0.00
Pa (0.5000, 0.5000, 0.5000)  0.56
Pd (0.0000, 0.5000, 0.0000)  0.02
Pd (0.0000, 0.0000, 0.5000)  0.02

Summary:
Offset from the most stable computed form (meV per atom): 207
Formation energy from raw total energies (eV per formula unit): -1.66
Volume (Å³/atom): 20.77



Table of DOS(E_F) (states/eV/atom), in record order: 0.417 1.449